Entry 1:
Computed, not measured: a relaxed structure of Ba14CaAc at the PBE level of DFT.

Calculated values
**Calculated formation energy**: 0.03 eV/atom
**Final energy**: -32.59 eV per cell
**Density of states at the Fermi level**: 18.00 states/eV/f.u.

a = 9.832 Å, b = 9.832 Å, c = 9.951 Å
α = 90.00°, β = 90.00°, γ = 90.00°
Element x y z (fractional)
Ba  0.000  0.000  0.000
Ba  0.000  0.500  0.000
Ba  0.000  0.500  0.500
Ba  0.249  0.249  0.260
Ba  0.249  0.249  0.740
Ba  0.249  0.751  0.260
Ba  0.249  0.751  0.740
Ba  0.500  0.000  0.000
Ba  0.500  0.000  0.500
Ba  0.500  0.500  0.000
Ba  0.751  0.249  0.260
Ba  0.751  0.249  0.740
Ba  0.751  0.751  0.260
Ba  0.751  0.751  0.740
Ca  0.500  0.500  0.500
Ac  0.000  0.000  0.500

***

Entry 2:
Computed, not measured: a relaxed structure of BeFeAg at the PBE level of DFT.

Calculated values
**Calculated formation energy**: 0.53 eV/atom
**Final energy**: -13.45 eV per cell
**Density of states at the Fermi level**: 3.41 states/eV/f.u.
**Energy above the lowest structure with this stoichiometry**: 346 meV per atom

a = 3.865 Å, b = 3.865 Å, c = 3.865 Å
α = 60.00°, β = 60.00°, γ = 60.00°
Element x y z (fractional)
Be  0.000  0.000  0.000
Fe  0.250  0.250  0.250
Ag  0.750  0.750  0.750

***

Entry 3:
Computed, not measured: a relaxed structure of HoPuI5 at the PBE level of DFT.

Calculated values
**Final energy**: -70.32 eV per cell
**Density of states at the Fermi level**: 13.22 states/eV/f.u.
**ΔE_f (raw)**: -1.214 eV per atom

a = 9.283 Å, b = 4.268 Å, c = 14.966 Å
α = 90.00°, β = 95.14°, γ = 90.00°
Element x y z (fractional)
Ho  0.087  0.250  0.156
Ho  0.913  0.750  0.844
Pu  0.407  0.750  0.360
Pu  0.593  0.250  0.640
I  0.128  0.250  0.797
I  0.145  0.250  0.365
I  0.178  0.750  0.021
I  0.349  0.750  0.571
I  0.423  0.250  0.195
I  0.577  0.750  0.805
I  0.651  0.250  0.429
I  0.822  0.250  0.979
I  0.855  0.750  0.635
I  0.872  0.750  0.203

***

Q: What is the density of states at the Fermi level in the second record?
A: 3.41 states/eV/f.u.